TaWO5 after structural relaxation, computed with PBE with a Hubbard U.

Cell: 8.556 6.311 7.309 Å, 90.00 115.29 90.00°
Space group C2/c (No. 15)
Unique sites:
Ta1 0.000 0.026 0.250 x4
W1 0.000 0.500 0.000 x4
O1 0.000 0.358 0.250 x4
O2 0.015 0.184 0.951 x8
O3 0.247 0.471 0.632 x8

total moment	3.97	Bohr magnetons per cell
uncorrected energy	-8.67	eV per atom